A relaxed Nd3TcBr2O6 crystal, computed with PBE.

a b c (Å): 6.7615 6.7615 5.9071
angles (deg): 99.15 99.15 60.01
Atoms (fractional coordinates):
Nd1 0.0000 0.0000 0.0000
Nd2 0.0000 0.5000 0.5000
Nd3 0.5000 0.0000 0.5000
Tc1 0.5000 0.5000 0.5000
Br1 0.2271 0.2271 0.8847
Br2 0.7729 0.7729 0.1153
O1 0.2139 0.6796 0.6954
O2 0.3204 0.7861 0.3046
O3 0.3388 0.3388 0.3409
O4 0.6612 0.6612 0.6591
O5 0.6796 0.2139 0.6954
O6 0.7861 0.3204 0.3046

- Space group: C2/m (12)
- DFT total energy: -6.86 eV/atom
- DOS at the Fermi energy: 5.9 states/eV/cell